VASP calculation (PBE) on a geometry-optimized Na2LaAl2 structure.

```
Na2LaAl2
1.0
9.0312 0.0000 0.0000
0.0000 9.0312 0.0000
0.0000 0.0000 3.1309
Na La Al
4 2 4
Cartesian
1.0282 3.4874 0.0000
3.4874 8.0030 0.0000
5.5438 1.0282 0.0000
8.0030 5.5438 0.0000
0.0000 0.0000 0.0000
4.5156 4.5156 0.0000
1.6884 6.2040 1.5655
2.8272 1.6884 1.5655
6.2040 7.3428 1.5655
7.3428 2.8272 1.5655
```

Calculated values
The space group is P4/mbm (127). The calculation puts the energy of formation at 119 meV per atom. As for the total energy: -28.91 eV per cell. The calculation puts the total magnetic moment at 0.530 Bohr magnetons per cell.

***

VASP calculation (PBE) on a geometry-optimized NaLa2Al structure.

```
NaLa2Al
1.0
3.6791 0.0000 0.0000
0.0000 3.6791 0.0000
0.0000 0.0000 9.4849
Na La Al
1 2 1
Cartesian
0.0000 0.0000 0.0000
1.8396 1.8396 2.8140
1.8396 1.8396 6.6709
0.0000 0.0000 4.7425
```

Calculated values
The space group is P4/mmm (123). The calculation puts the energy of formation at -109 meV per atom. As for the total energy: -15.35 eV per cell. The calculation puts the total magnetic moment at 0.000 Bohr magnetons per cell.

***

VASP calculation (PBE) on a geometry-optimized NaLaAl4 structure.

```
NaLaAl4
1.0
0.0000 4.0263 4.0263
4.0263 0.0000 4.0263
4.0263 4.0263 0.0000
Na La Al
1 1 4
Cartesian
0.0000 0.0000 0.0000
2.0132 2.0132 2.0132
5.0270 3.0256 3.0256
3.0256 5.0270 3.0256
3.0256 3.0256 5.0270
5.0270 5.0270 5.0270
```

Calculated values
The space group is F-43m (216). The calculation puts the energy of formation at -226 meV per atom. As for the total energy: -22.57 eV per cell. The calculation puts the total magnetic moment at 0.000 Bohr magnetons per cell.